A plane-wave DFT calculation with GGA+U was carried out for Li2Fe3SbO8 after structural relaxation.

## Properties
Magnetic moment: 15.00 μB per formula unit
V: 635 Å³/cell
Uncorrected energy: -6.26 eV/atom

Cell lengths 8.5970, 8.5970, 8.5970 Å; angles 90.00, 90.00, 90.00 degrees
Space group P4_332 (No. 212)
Inequivalent atoms, fractional coordinates:
Li 0.0000 0.0000 0.0000 [8 per cell]
Fe 0.1177 0.1323 0.6250 [12 per cell]
Sb 0.1250 0.8750 0.3750 [4 per cell]
O 0.1098 0.3856 0.1140 [24 per cell]
O 0.1150 0.6150 0.8850 [8 per cell]